A geometry-optimized Fe2Ni2O structure, computed with PBE with a Hubbard U.

```
data_Fe2Ni2O
_space_group_name_H-M_alt 'P 1'
_space_group_IT_number 1
_cell_length_a 5.351
_cell_length_b 5.351
_cell_length_c 4.325
_cell_angle_alpha 90.00
_cell_angle_beta 90.00
_cell_angle_gamma 90.00
loop_
_space_group_symop_operation_xyz
'x,y,z'
loop_
_atom_site_label
_atom_site_fract_x
_atom_site_fract_y
_atom_site_fract_z
Ni1 0.338 0.838 0.000
Ni2 0.838 0.662 0.000
Ni3 0.662 0.162 0.000
Ni4 0.162 0.338 0.000
Fe1 0.167 0.667 0.500
Fe2 0.667 0.833 0.500
Fe3 0.833 0.333 0.500
Fe4 0.333 0.167 0.500
O1 0.000 0.000 0.000
O2 0.500 0.500 0.000
```

Total energy, eV per formula unit: -18.0
M_tot, μB/f.u.: 8.42
D(E_F), states/eV/cell: 6.839